No. 1
First-principles (GGA-PBEsol) data for FeReRh2 after structural relaxation, as listed in the Alexandria database.

Results
energy of formation = 318 meV per atom

Cell and atoms, written as CIF:
```
data_FeReRh2
_space_group_name_H-M_alt 'F m -3 m'
_space_group_IT_number 225
_space_group_name_Hall '-F 4 2 3'
_cell_length_a 6.0071
_cell_length_b 6.0071
_cell_length_c 6.0071
_cell_angle_alpha 90.00
_cell_angle_beta 90.00
_cell_angle_gamma 90.00
loop_
_atom_site_label
_atom_site_type_symbol
_atom_site_fract_x
_atom_site_fract_y
_atom_site_fract_z
Fe1 Fe 0.0000 0.0000 0.0000
Re1 Re 0.0000 0.0000 0.5000
Rh1 Rh 0.2500 0.2500 0.2500
```



No. 2
First-principles (GGA-PBEsol) data for Tl2IrCl after structural relaxation, as listed in the Alexandria database.

Results
formation energy without anion corrections = 0.12 eV/atom

Cell and atoms, written as CIF:
```
data_Tl2IrCl
_space_group_name_H-M_alt 'P 1 2/m 1'
_space_group_IT_number 10
_space_group_name_Hall '-P 2y'
_cell_length_a 3.2001
_cell_length_b 3.3447
_cell_length_c 7.9768
_cell_angle_alpha 90.00
_cell_angle_beta 90.16
_cell_angle_gamma 90.00
loop_
_atom_site_label
_atom_site_type_symbol
_atom_site_fract_x
_atom_site_fract_y
_atom_site_fract_z
Tl1 Tl 0.0015 0.0000 0.2115
Ir1 Ir 0.5000 0.5000 0.0000
Cl1 Cl 0.0000 0.5000 0.5000
```



For reference, total magnetic moment by record: 7.48, 0.00 Bohr magnetons per cell.